(1)
# KLiTl2Zn | Alexandria via LeMat-Bulk | PBE-GGA | optimized geometry
data_KLiTl2Zn
_cell_length_a 5.404
_cell_length_b 5.404
_cell_length_c 5.333
_cell_angle_alpha 90.00
_cell_angle_beta 90.00
_cell_angle_gamma 90.00
_space_group_name_H-M_alt 'P 1'
_space_group_IT_number 1
loop_
_space_group_symop_operation_xyz
'x,y,z'
loop_
_atom_site_label
_atom_site_fract_x
_atom_site_fract_y
_atom_site_fract_z
K1 0.500 0.500 0.500
Tl1 0.000 0.500 0.000
Tl2 0.500 0.000 0.000
Li1 0.000 0.000 0.500
Zn1 0.000 0.000 0.000
# Crystal system = tetragonal


(2)
# KLi2V | Alexandria via LeMat-Bulk | PBE-GGA | optimized geometry
data_KLi2V
_cell_length_a 5.370
_cell_length_b 5.370
_cell_length_c 5.370
_cell_angle_alpha 60.00
_cell_angle_beta 60.00
_cell_angle_gamma 60.00
_space_group_name_H-M_alt 'P 1'
_space_group_IT_number 1
loop_
_space_group_symop_operation_xyz
'x,y,z'
loop_
_atom_site_label
_atom_site_fract_x
_atom_site_fract_y
_atom_site_fract_z
Li1 0.250 0.250 0.250
K1 0.000 0.000 0.000
V1 0.500 0.500 0.500
Li2 0.750 0.750 0.750
# Crystal system = cubic
# Offset from the most stable computed form = 0 meV per atom


(3)
# KLi2V | Alexandria via LeMat-Bulk | PBE-GGA | optimized geometry
data_KLi2V
_cell_length_a 8.296
_cell_length_b 8.296
_cell_length_c 6.760
_cell_angle_alpha 52.15
_cell_angle_beta 52.15
_cell_angle_gamma 90.00
_space_group_name_H-M_alt 'P 1'
_space_group_IT_number 1
loop_
_space_group_symop_operation_xyz
'x,y,z'
loop_
_atom_site_label
_atom_site_fract_x
_atom_site_fract_y
_atom_site_fract_z
Li1 0.375 0.334 0.750
V1 0.750 0.250 0.500
K1 0.250 0.750 0.500
Li2 0.666 0.125 0.250
Li3 0.084 0.625 0.250
K2 0.500 0.500 0.000
Li4 0.875 0.916 0.750
V2 0.000 0.000 0.000
# Crystal system = tetragonal
# Offset from the most stable computed form = 68 meV per atom


(4)
# K3LiV | Alexandria via LeMat-Bulk | PBE-GGA | optimized geometry
data_K3LiV
_cell_length_a 6.654
_cell_length_b 6.654
_cell_length_c 6.654
_cell_angle_alpha 90.00
_cell_angle_beta 90.00
_cell_angle_gamma 90.00
_space_group_name_H-M_alt 'P 1'
_space_group_IT_number 1
loop_
_space_group_symop_operation_xyz
'x,y,z'
loop_
_atom_site_label
_atom_site_fract_x
_atom_site_fract_y
_atom_site_fract_z
V1 0.000 0.000 0.000
K1 0.000 0.500 0.000
K2 0.000 0.000 0.500
K3 0.500 0.000 0.000
Li1 0.500 0.500 0.500
# Crystal system = cubic


(5)
# KLi2V4 | Alexandria via LeMat-Bulk | PBE-GGA | optimized geometry
data_KLi2V4
_cell_length_a 4.618
_cell_length_b 4.618
_cell_length_c 7.539
_cell_angle_alpha 72.17
_cell_angle_beta 72.17
_cell_angle_gamma 90.00
_space_group_name_H-M_alt 'P 1'
_space_group_IT_number 1
loop_
_space_group_symop_operation_xyz
'x,y,z'
loop_
_atom_site_label
_atom_site_fract_x
_atom_site_fract_y
_atom_site_fract_z
Li1 0.387 0.387 0.226
Li2 0.613 0.613 0.774
V1 0.803 0.803 0.394
V2 0.197 0.197 0.606
V3 0.500 0.000 0.000
V4 0.000 0.500 0.000
K1 0.000 0.000 0.000
# Crystal system = tetragonal


(6)
# KLi3V | Alexandria via LeMat-Bulk | PBE-GGA | optimized geometry
data_KLi3V
_cell_length_a 5.044
_cell_length_b 5.044
_cell_length_c 5.044
_cell_angle_alpha 90.00
_cell_angle_beta 90.00
_cell_angle_gamma 90.00
_space_group_name_H-M_alt 'P 1'
_space_group_IT_number 1
loop_
_space_group_symop_operation_xyz
'x,y,z'
loop_
_atom_site_label
_atom_site_fract_x
_atom_site_fract_y
_atom_site_fract_z
V1 0.500 0.500 0.500
Li1 0.500 0.000 0.000
Li2 0.000 0.000 0.500
Li3 0.000 0.500 0.000
K1 0.000 0.000 0.000
# Crystal system = cubic
# Offset from the most stable computed form = 435 meV per atom


(7)
# KLi3V | Alexandria via LeMat-Bulk | PBE-GGA | optimized geometry
data_KLi3V
_cell_length_a 5.418
_cell_length_b 5.418
_cell_length_c 5.418
_cell_angle_alpha 90.00
_cell_angle_beta 90.00
_cell_angle_gamma 90.00
_space_group_name_H-M_alt 'P 1'
_space_group_IT_number 1
loop_
_space_group_symop_operation_xyz
'x,y,z'
loop_
_atom_site_label
_atom_site_fract_x
_atom_site_fract_y
_atom_site_fract_z
Li1 0.000 0.500 0.000
Li2 0.000 0.000 0.500
K1 0.500 0.500 0.500
V1 0.000 0.000 0.000
Li3 0.500 0.000 0.000
# Crystal system = cubic
# Offset from the most stable computed form = 0 meV per atom


(8)
# KLiVW2 | Alexandria via LeMat-Bulk | PBE-GGA | optimized geometry
data_KLiVW2
_cell_length_a 4.594
_cell_length_b 4.245
_cell_length_c 4.594
_cell_angle_alpha 90.00
_cell_angle_beta 90.00
_cell_angle_gamma 90.00
_space_group_name_H-M_alt 'P 1'
_space_group_IT_number 1
loop_
_space_group_symop_operation_xyz
'x,y,z'
loop_
_atom_site_label
_atom_site_fract_x
_atom_site_fract_y
_atom_site_fract_z
Li1 0.500 0.500 0.500
W1 0.000 0.000 0.500
K1 0.000 0.000 0.000
W2 0.500 0.000 0.000
V1 0.000 0.500 0.000
# Crystal system = tetragonal


(9)
# KLiW2 | Alexandria via LeMat-Bulk | PBE-GGA | optimized geometry
data_KLiW2
_cell_length_a 6.588
_cell_length_b 6.588
_cell_length_c 4.913
_cell_angle_alpha 68.18
_cell_angle_beta 68.18
_cell_angle_gamma 22.98
_space_group_name_H-M_alt 'P 1'
_space_group_IT_number 1
loop_
_space_group_symop_operation_xyz
'x,y,z'
loop_
_atom_site_label
_atom_site_fract_x
_atom_site_fract_y
_atom_site_fract_z
W1 0.529 0.529 0.471
K1 0.750 0.750 0.750
W2 0.971 0.971 0.029
Li1 0.250 0.250 0.250
# Crystal system = monoclinic
# Offset from the most stable computed form = 267 meV per atom


(10)
# KLiW2 | Alexandria via LeMat-Bulk | PBE-GGA | optimized geometry
data_KLiW2
_cell_length_a 3.735
_cell_length_b 3.735
_cell_length_c 11.996
_cell_angle_alpha 81.05
_cell_angle_beta 81.05
_cell_angle_gamma 90.00
_space_group_name_H-M_alt 'P 1'
_space_group_IT_number 1
loop_
_space_group_symop_operation_xyz
'x,y,z'
loop_
_atom_site_label
_atom_site_fract_x
_atom_site_fract_y
_atom_site_fract_z
W1 0.375 0.390 0.750
W2 0.875 0.860 0.750
W3 0.610 0.125 0.250
K1 0.750 0.250 0.500
K2 0.000 0.000 0.000
W4 0.140 0.625 0.250
Li1 0.500 0.500 0.000
Li2 0.250 0.750 0.500
# Crystal system = tetragonal
# Offset from the most stable computed form = 648 meV per atom


(11)
# KLiW2 | Alexandria via LeMat-Bulk | PBE-GGA | optimized geometry
data_KLiW2
_cell_length_a 3.263
_cell_length_b 3.263
_cell_length_c 8.078
_cell_angle_alpha 90.00
_cell_angle_beta 90.00
_cell_angle_gamma 90.00
_space_group_name_H-M_alt 'P 1'
_space_group_IT_number 1
loop_
_space_group_symop_operation_xyz
'x,y,z'
loop_
_atom_site_label
_atom_site_fract_x
_atom_site_fract_y
_atom_site_fract_z
Li1 0.500 0.500 0.750
K1 0.500 0.500 0.250
W1 0.000 0.000 0.608
W2 0.000 0.000 0.892
# Crystal system = tetragonal
# Offset from the most stable computed form = 682 meV per atom


(12)
# KLiW2 | Alexandria via LeMat-Bulk | PBE-GGA | optimized geometry
data_KLiW2
_cell_length_a 2.697
_cell_length_b 2.697
_cell_length_c 11.272
_cell_angle_alpha 90.00
_cell_angle_beta 90.00
_cell_angle_gamma 113.44
_space_group_name_H-M_alt 'P 1'
_space_group_IT_number 1
loop_
_space_group_symop_operation_xyz
'x,y,z'
loop_
_atom_site_label
_atom_site_fract_x
_atom_site_fract_y
_atom_site_fract_z
W1 0.000 0.000 0.970
K1 0.500 0.500 0.250
W2 0.000 0.000 0.530
Li1 0.500 0.500 0.750
# Crystal system = orthorhombic
# Offset from the most stable computed form = 307 meV per atom


Asked for Fermi-level density of states across the records above, the calculation gives 0.639; 1.482; 1.376; 1.350; 2.000; 0.771; 1.220; 0.747; 0.637; 0.789; 1.029; 0.959 states/eV per atom in order.
Asked for DFT formation energy across the records above, the calculation gives 19; 314; 341; 438; 1403; 564; 354; 1560; 391; 539; 551; 407 kJ/mol of formula units in order.